Entry 1:
Below is a relaxed SiHgPt2 crystal, with properties calculated at the GGA-PBE level.

Results
energy: -35.39 eV per cell
raw formation energy: 0.113 eV/f.u.

abc: 3.839 3.839 9.038
angles: 90.00 90.00 90.00
Space group I-4m2 (No. 119)
Unique sites:
1 Si 0.000 0.000 0.000 [2 per cell]
2 Hg 0.000 0.500 0.750 [2 per cell]
3 Pt 0.000 0.000 0.500 [2 per cell]
4 Pt 0.000 0.500 0.250 [2 per cell]

---

Entry 2:
Below is a relaxed SiHg2Pt crystal, with properties calculated at the GGA-PBE level.

Results
energy: -23.52 eV per cell
raw formation energy: 0.308 eV/f.u.

abc: 2.973 4.599 12.142
angles: 90.00 90.00 90.00
Space group Imm2 (No. 44)
Unique sites:
1 Si 0.000 0.000 0.000 [2 per cell]
2 Hg 0.000 0.000 0.593 [2 per cell]
3 Hg 0.000 0.500 0.775 [2 per cell]
4 Pt 0.000 0.500 0.345 [2 per cell]

---

Entry 3:
Below is a relaxed Si2HgPt crystal, with properties calculated at the GGA-PBE level.

Results
energy: -51.14 eV per cell
raw formation energy: 0.140 eV/f.u.

abc: 3.2814 3.2814 22.7121
angles: 90.00 90.00 120.00
Space group R3m (No. 160, hexagonal axes)
Unique sites:
1 Si 0.0000 0.0000 0.0000 [3 per cell]
2 Si 0.0000 0.0000 0.2551 [3 per cell]
3 Hg 0.0000 0.0000 0.4970 [3 per cell]
4 Pt 0.0000 0.0000 0.7308 [3 per cell]

---

Entry 4:
Below is a relaxed SiHgPt crystal, with properties calculated at the GGA-PBE level.

Results
energy: -11.94 eV per cell
raw formation energy: -0.172 eV/f.u.

abc: 4.0823 4.0823 4.0098
angles: 90.00 90.00 120.00
Space group P3m1 (No. 156)
Unique sites:
1 Si 0.0000 0.0000 0.0000 [1 per cell]
2 Hg 0.6667 0.3333 0.4993 [1 per cell]
3 Pt 0.3333 0.6667 0.9975 [1 per cell]

---

Entry 5:
Below is a relaxed SiHg2Pt crystal, with properties calculated at the GGA-PBE level.

Results
energy: -37.35 eV per cell
raw formation energy: -0.381 eV/f.u.

abc: 3.5416 3.5416 23.4944
angles: 90.00 90.00 120.00
Space group R3m (No. 160, hexagonal axes)
Unique sites:
1 Si 0.0000 0.0000 0.0000 [3 per cell]
2 Hg 0.0000 0.0000 0.5260 [3 per cell]
3 Hg 0.0000 0.0000 0.7594 [3 per cell]
4 Pt 0.0000 0.0000 0.2827 [3 per cell]

---

Entry 6:
Below is a relaxed SiHgPt3 crystal, with properties calculated at the GGA-PBE level.

Results
energy: -15.93 eV per cell
raw formation energy: 7.918 eV/f.u.

abc: 5.004 5.004 5.004
angles: 90.00 90.00 90.00
Space group Pm-3m (No. 221)
Unique sites:
1 Si 0.000 0.000 0.000 [1 per cell]
2 Hg 0.500 0.500 0.500 [1 per cell]
3 Pt 0.000 0.500 0.500 [3 per cell]